*i*
The following is a DFT calculation (meta-GGA SCAN) of a PBEsol-optimized structure of BaSbPb.

Computed properties:
- ρ: 7.12 Mg/m³
- Crystal system: hexagonal

a = 5.2452 Å, b = 5.2452 Å, c = 4.5662 Å
α = 90.00°, β = 90.00°, γ = 120.00°
Space group P-6m2 (No. 187)
Symmetry-distinct sites (fractional):
Ba 0.0000 0.0000 0.0000 x1
Sb 0.3333 0.6667 0.5000 x1
Pb 0.6667 0.3333 0.5000 x1

***

*ii*
The following is a DFT calculation (meta-GGA SCAN) of a PBEsol-optimized structure of BaSbPb.

Computed properties:
- ρ: 6.55 Mg/m³
- Crystal system: cubic

a = 7.7925 Å, b = 7.7925 Å, c = 7.7925 Å
α = 90.00°, β = 90.00°, γ = 90.00°
Space group F-43m (No. 216)
Symmetry-distinct sites (fractional):
Ba 0.0000 0.0000 0.0000 x4
Sb 0.2500 0.2500 0.2500 x4
Pb 0.2500 0.2500 0.7500 x4

***

Most stable: *i*. Least stable: *ii*.

***

*i*
The following is a DFT calculation (meta-GGA SCAN) of a PBEsol-optimized structure of BaSn2Pb2.

Computed properties:
- ρ: 7.76 Mg/m³
- Crystal system: tetragonal

a = 5.0073 Å, b = 5.0073 Å, c = 13.4751 Å
α = 90.00°, β = 90.00°, γ = 90.00°
Space group I4/mmm (No. 139)
Symmetry-distinct sites (fractional):
Ba 0.0000 0.0000 0.0000 x2
Sn 0.0000 0.0000 0.3944 x4
Pb 0.0000 0.5000 0.2500 x4

***

*ii*
The following is a DFT calculation (meta-GGA SCAN) of a PBEsol-optimized structure of BaSn2Pb2.

Computed properties:
- ρ: 8.19 Mg/m³
- Crystal system: tetragonal

a = 8.6978 Å, b = 8.6978 Å, c = 4.2295 Å
α = 90.00°, β = 90.00°, γ = 90.00°
Space group P4/mbm (No. 127)
Symmetry-distinct sites (fractional):
Ba 0.0000 0.0000 0.0000 x2
Sn 0.1206 0.3794 0.0000 x4
Pb 0.1554 0.6554 0.5000 x4

***

Most stable: *i*. Least stable: *ii*.

***

*i*
The following is a DFT calculation (meta-GGA SCAN) of a PBEsol-optimized structure of BaTcPb2.

Computed properties:
- ρ: 9.82 Mg/m³
- Crystal system: orthorhombic

a = 3.3090 Å, b = 6.1194 Å, c = 10.8474 Å
α = 90.00°, β = 90.00°, γ = 90.00°
Space group Immm (No. 71)
Symmetry-distinct sites (fractional):
Ba 0.0000 0.0000 0.0000 x2
Tc 0.0000 0.0000 0.5000 x2
Pb 0.0000 0.5000 0.2046 x4

***

*ii*
The following is a DFT calculation (meta-GGA SCAN) of a PBEsol-optimized structure of BaTcPb2.

Computed properties:
- ρ: 9.93 Mg/m³
- Crystal system: tetragonal

a = 4.6951 Å, b = 4.6951 Å, c = 4.9267 Å
α = 90.00°, β = 90.00°, γ = 90.00°
Space group P4/mmm (No. 123)
Symmetry-distinct sites (fractional):
Ba 0.0000 0.0000 0.0000 x1
Tc 0.5000 0.5000 0.0000 x1
Pb 0.0000 0.5000 0.5000 x2

***

Most stable: *i*. Least stable: *ii*.